Material: Sr2ScPb
Method: DFT, PBE
State: optimized geometry

Computed properties:
total magnetic moment = 1.31 μB per formula unit
calculated formation energy = 0.25 eV/f.u.
volume = 36.7 Å³ per atom
energy = -0.121 Ha/atom

abc: 3.8151 3.8151 34.9560
angles: 90.00 90.00 120.00
With the nearest neighbours (Å) after each atom.
Space group R-3m (No. 166, hexagonal axes)
One atom of each set of equivalent atoms:
Sr: 0.0000 0.0000 0.2468 x6  3 Pb 3.56, 3 Sc 3.74, 6 Sr 3.82
Sc: 0.0000 0.0000 0.0000 x3  6 Sr 3.74, 6 Sc 3.82
Pb: 0.0000 0.0000 0.5000 x3  6 Sr 3.56, 6 Pb 3.82

---

Material: AlRe2I
Method: DFT, PBE
State: optimized geometry

Computed properties:
total magnetic moment = 0.00 μB per formula unit
volume = 20.2 Å³ per atom
energy = -0.237 Ha/atom
formation energy without anion corrections = 1.101 eV per atom

abc: 4.2113 4.2113 18.2220
angles: 90.00 90.00 90.00
With the nearest neighbours (Å) after each atom.
Space group I-42d (No. 122)
One atom of each set of equivalent atoms:
Al: 0.0000 0.0000 0.0000 x4  4 Re 2.60
Re: 0.1611 0.2500 0.1250 x8  2 Re 2.50, 2 Al 2.60
I: 0.0000 0.0000 0.5000 x4  4 Re 2.89, 4 Al 2.98

---

Material: Pm12Si7Ru
Method: DFT, PBE
State: optimized geometry

Computed properties:
total magnetic moment = 0.00 μB per formula unit
volume = 27.5 Å³ per atom
energy = -0.208 Ha/atom
formation energy without anion corrections = -0.435 eV per atom

abc: 14.5609 14.5609 8.9813
angles: 90.00 90.00 120.00
With the nearest neighbours (Å) after each atom.
Space group R-3 (No. 148, hexagonal axes)
One atom of each set of equivalent atoms:
Pm: 0.0318 0.4433 0.3154 x18  3 Si 2.97-2.99
Pm: 0.0451 0.1736 0.2705 x18  4 Si 2.95-3.07
Si: 0.0000 0.0000 0.5000 x3  6 Pm 3.07
Si: 0.0466 0.1820 0.9321 x18  1 Ru 2.46, 2 Si 2.68
Ru: 0.0000 0.0000 0.0000 x3  6 Si 2.46

---

Which of these has the lowest volume? AlRe2I